ScCuAgGe | PBE | relaxed

a b c (Å): 4.567 4.567 4.567
angles (deg): 60.00 60.00 60.00
Positions (direct):
Sc 0.500 0.500 0.500
Ag 0.250 0.250 0.250
Ge 0.000 0.000 0.000
Cu 0.750 0.750 0.750

## Properties
- Energy relative to the lowest polymorph listed for this composition: 0.047 eV per atom

SmCuAgGe2 | PBE | relaxed

a b c (Å): 6.192 6.192 6.192
angles (deg): 140.59 140.59 56.96
Positions (direct):
Ag 0.000 0.000 0.000
Ge 0.863 0.363 0.500
Cu 0.500 0.500 0.000
Sm 0.250 0.750 0.500
Ge 0.637 0.137 0.500

## Properties
- Final energy: -4.535 eV per atom

ZnCuAgGeTe4 | PBE | relaxed

a b c (Å): 7.572 7.572 7.572
angles (deg): 131.53 131.53 70.96
Positions (direct):
Te 0.638 0.642 0.525
Cu 0.000 0.000 0.000
Ag 0.500 0.500 0.000
Te 0.116 0.113 0.475
Te 0.358 0.884 0.996
Zn 0.750 0.250 0.500
Te 0.887 0.362 0.004
Ge 0.250 0.750 0.500

## Properties
- Final energy: -3.300 eV per atom

CuAgGeW | PBE | relaxed

a b c (Å): 4.443 4.443 4.443
angles (deg): 60.00 60.00 60.00
Positions (direct):
Ag 0.500 0.500 0.500
W 0.250 0.250 0.250
Ge 0.000 0.000 0.000
Cu 0.750 0.750 0.750

## Properties
- Energy relative to the lowest polymorph listed for this composition: 0.000 eV per atom

CuAgH5 | PBE | relaxed

a b c (Å): 3.203 4.544 4.587
angles (deg): 94.90 107.47 108.34
Positions (direct):
H 0.976 0.250 0.720
H 0.024 0.750 0.280
H 0.709 0.221 0.189
H 0.500 0.500 0.500
Ag 0.000 0.000 0.000
Cu 0.000 0.500 0.500
H 0.291 0.779 0.811

## Properties
- Final energy: -2.927 eV per atom

Hf2CuAg | PBE | relaxed

a b c (Å): 3.354 3.354 6.523
angles (deg): 90.00 90.00 90.00
Positions (direct):
Ag 0.000 0.000 0.602
Hf 0.000 0.000 0.155
Hf 0.500 0.500 0.861
Cu 0.500 0.500 0.382

## Properties
- Energy relative to the lowest polymorph listed for this composition: 0.000 eV per atom

HfCuAg | PBE | relaxed

a b c (Å): 3.412 3.412 8.742
angles (deg): 90.00 90.00 90.00
Positions (direct):
Hf 0.000 0.500 0.732
Hf 0.500 0.000 0.268
Cu 0.500 0.000 0.572
Cu 0.000 0.500 0.428
Ag 0.000 0.500 0.085
Ag 0.500 0.000 0.915

## Properties
- Energy relative to the lowest polymorph listed for this composition: 0.000 eV per atom

Hf2CuAg3 | PBE | relaxed

a b c (Å): 3.478 3.478 8.930
angles (deg): 90.00 90.00 90.00
Positions (direct):
Ag 0.500 0.500 0.329
Hf 0.500 0.500 0.990
Ag 0.500 0.500 0.679
Cu 0.000 0.000 0.832
Ag 0.000 0.000 0.166
Hf 0.000 0.000 0.505

## Properties
- Final energy: -5.368 eV per atom

HfCuAg | PBE | relaxed

a b c (Å): 4.440 4.440 4.440
angles (deg): 60.00 60.00 60.00
Positions (direct):
Ag 0.250 0.250 0.250
Cu 0.750 0.750 0.750
Hf 0.000 0.000 0.000

## Properties
- Energy relative to the lowest polymorph listed for this composition: 0.594 eV per atom

Hf2CuAg | PBE | relaxed

a b c (Å): 4.704 4.704 4.704
angles (deg): 60.00 60.00 60.00
Positions (direct):
Hf 0.250 0.250 0.250
Hf 0.000 0.000 0.000
Cu 0.750 0.750 0.750
Ag 0.500 0.500 0.500

## Properties
- Energy relative to the lowest polymorph listed for this composition: 0.447 eV per atom

HfCuAg | PBE | relaxed

a b c (Å): 3.399 3.399 8.807
angles (deg): 90.00 90.00 90.00
Positions (direct):
Hf 0.500 0.500 0.500
Hf 0.000 0.000 0.000
Ag 0.500 0.500 0.817
Cu 0.000 0.000 0.338
Ag 0.500 0.500 0.183
Cu 0.000 0.000 0.662

## Properties
- Energy relative to the lowest polymorph listed for this composition: 0.007 eV per atom

HfCuAg | PBE | relaxed

a b c (Å): 5.018 5.018 5.018
angles (deg): 140.42 140.42 57.21
Positions (direct):
Cu 0.331 0.331 0.000
Hf 0.993 0.993 0.000
Ag 0.676 0.676 0.000

## Properties
- Energy relative to the lowest polymorph listed for this composition: 0.007 eV per atom

HfCuAg | PBE | relaxed

a b c (Å): 4.315 4.315 4.315
angles (deg): 60.00 60.00 60.00
Positions (direct):
Hf 0.750 0.750 0.750
Ag 0.250 0.250 0.250
Cu 0.000 0.000 0.000

## Properties
- Energy relative to the lowest polymorph listed for this composition: 0.285 eV per atom

HfCu2Ag | PBE | relaxed

a b c (Å): 4.458 4.458 4.458
angles (deg): 60.00 60.00 60.00
Positions (direct):
Ag 0.750 0.750 0.750
Hf 0.500 0.500 0.500
Cu 0.250 0.250 0.250
Cu 0.000 0.000 0.000

## Properties
- Final energy: -5.011 eV per atom

HfInCuAg | PBE | relaxed

a b c (Å): 4.700 4.700 4.700
angles (deg): 60.00 60.00 60.00
Positions (direct):
Cu 0.750 0.750 0.750
Hf 0.250 0.250 0.250
Ag 0.500 0.500 0.500
In 0.000 0.000 0.000

## Properties
- Energy relative to the lowest polymorph listed for this composition: 0.145 eV per atom

HfInCuAg | PBE | relaxed

a b c (Å): 4.661 4.661 4.661
angles (deg): 60.00 60.00 60.00
Positions (direct):
Cu 0.750 0.750 0.750
Ag 0.250 0.250 0.250
In 0.000 0.000 0.000
Hf 0.500 0.500 0.500

## Properties
- Energy relative to the lowest polymorph listed for this composition: 0.000 eV per atom

Hf2In2CuAg | PBE | relaxed

a b c (Å): 7.775 4.471 14.861
angles (deg): 90.00 99.76 90.00
Positions (direct):
Cu 0.001 0.500 0.998
Hf 0.698 0.500 0.061
Hf 0.948 0.500 0.814
Cu 0.247 0.500 0.747
Ag 0.750 0.000 0.749
In 0.066 0.000 0.684
Hf 0.188 0.500 0.563
Ag 0.499 0.000 0.997
Cu 0.001 0.000 0.502
In 0.554 0.500 0.684
In 0.306 0.500 0.933
Hf 0.685 0.000 0.559
In 0.562 0.000 0.187
Hf 0.441 0.500 0.320
In 0.819 0.000 0.937
Ag 0.250 0.000 0.252
Hf 0.425 0.000 0.806
In 0.063 0.500 0.183
In 0.313 0.000 0.444
Cu 0.500 0.500 0.502
Hf 0.178 0.000 0.059
In 0.816 0.500 0.445
Hf 0.940 0.000 0.320
Ag 0.753 0.500 0.253

## Properties
- Final energy: -5.355 eV per atom

HfCuAgSn | PBE | relaxed

a b c (Å): 4.704 4.704 4.704
angles (deg): 60.00 60.00 60.00
Positions (direct):
Sn 0.000 0.000 0.000
Cu 0.750 0.750 0.750
Hf 0.500 0.500 0.500
Ag 0.250 0.250 0.250

## Properties
- Energy relative to the lowest polymorph listed for this composition: 0.000 eV per atom

HfCuAgSn | PBE | relaxed

a b c (Å): 4.732 4.732 4.732
angles (deg): 60.00 60.00 60.00
Positions (direct):
Sn 0.000 0.000 0.000
Ag 0.500 0.500 0.500
Hf 0.250 0.250 0.250
Cu 0.750 0.750 0.750

## Properties
- Energy relative to the lowest polymorph listed for this composition: 0.013 eV per atom

HfTlCuAg | PBE | relaxed

a b c (Å): 4.712 4.712 4.712
angles (deg): 60.00 60.00 60.00
Positions (direct):
Cu 0.750 0.750 0.750
Hf 0.500 0.500 0.500
Ag 0.250 0.250 0.250
Tl 0.000 0.000 0.000

## Properties
- Energy relative to the lowest polymorph listed for this composition: 0.000 eV per atom